First-principles (PBE with a Hubbard U) data for an optimized crystal structure of SnWO2, as listed in the Alexandria database.

The total DFT energy (no corrections) is -6.592 eV/atom. The calculation puts the total magnetic moment at 2.945 μB/cell.

The structure in POSCAR format:
```
SnWO2
1.0
4.056 -2.817 4.936
4.584 -4.765 2.245
6.229 -1.848 2.558
O Sn W
2 1 1
Cartesian
1.734 -1.100 1.136
13.135 -8.329 8.604
0.000 0.000 0.000
7.434 -4.715 4.870
```